1.
{"formula": "Ba2Cu2N", "functional": "PBE", "state": "relaxed", "lattice_angstrom": [[7.8375, 0.0000, 0.0000], [0.0000, 7.8375, 0.0000], [0.0000, 0.0000, 4.7615]], "species": ["Ba", "Ba", "Ba", "Ba", "Cu", "Cu", "Cu", "Cu", "N", "N"], "fractional_positions": [[0.1918, 0.3082, 0.0000], [0.3082, 0.8082, 0.0000], [0.6918, 0.1918, 0.0000], [0.8082, 0.6918, 0.0000], [0.1066, 0.6066, 0.5000], [0.3934, 0.1066, 0.5000], [0.6066, 0.8934, 0.5000], [0.8934, 0.3934, 0.5000], [0.0000, 0.0000, 0.0000], [0.5000, 0.5000, 0.0000]], "m_tot_mub_per_cell": 2.29}



2.
{"formula": "Ba2Cu2N", "functional": "PBE", "state": "relaxed", "lattice_angstrom": [[-1.7476, 1.7476, 8.9135], [1.7476, -1.7476, 8.9135], [1.7476, 1.7476, -8.9135]], "species": ["Ba", "Ba", "Cu", "Cu", "N"], "fractional_positions": [[0.0871, 0.0871, 0.0000], [0.9129, 0.9129, 0.0000], [0.2500, 0.7500, 0.5000], [0.7500, 0.2500, 0.5000], [0.5000, 0.5000, 0.0000]], "m_tot_mub_per_cell": 0.00}



Most stable structure: 2



1.
{"formula": "Ba2CuPtN", "functional": "PBE", "state": "relaxed", "lattice_angstrom": [[5.6878, 0.0000, 0.0000], [0.0000, 5.6878, 0.0000], [0.0000, 0.0000, 3.7180]], "species": ["Ba", "Ba", "Cu", "Pt", "N"], "fractional_positions": [[0.0000, 0.5000, 0.0000], [0.5000, 0.0000, 0.0000], [0.0000, 0.0000, 0.5000], [0.5000, 0.5000, 0.5000], [0.0000, 0.0000, 0.0000]], "m_tot_mub_per_cell": 0.00}



2.
{"formula": "Ba2CuPtN", "functional": "PBE", "state": "relaxed", "lattice_angstrom": [[5.7832, 0.0000, 0.0000], [0.0000, 5.7832, 0.0000], [0.0000, 0.0000, 3.8638]], "species": ["Ba", "Ba", "Cu", "Pt", "N"], "fractional_positions": [[0.0000, 0.5000, 0.0000], [0.5000, 0.0000, 0.0000], [0.0000, 0.0000, 0.5000], [0.5000, 0.5000, 0.5000], [0.5000, 0.5000, 0.0000]], "m_tot_mub_per_cell": 0.00}



Most stable structure: 1



1.
{"formula": "BaCuSe2N", "functional": "PBE", "state": "relaxed", "lattice_angstrom": [[6.1941, 0.0000, 0.0000], [0.0000, 6.1941, 0.0000], [0.0000, 0.0000, 5.1969]], "species": ["Ba", "Cu", "Se", "Se", "N"], "fractional_positions": [[0.0000, 0.0000, 0.0000], [0.5000, 0.5000, 0.5000], [0.0000, 0.5000, 0.0000], [0.5000, 0.0000, 0.0000], [0.0000, 0.0000, 0.5000]], "m_tot_mub_per_cell": 3.99}



2.
{"formula": "BaCuSe2N", "functional": "PBE", "state": "relaxed", "lattice_angstrom": [[5.2514, 0.0000, 0.0000], [0.0000, 5.2514, 0.0000], [0.0000, 0.0000, 3.8275]], "species": ["Ba", "Cu", "Se", "Se", "N"], "fractional_positions": [[0.0000, 0.0000, 0.0000], [0.5000, 0.5000, 0.5000], [0.0000, 0.5000, 0.5000], [0.5000, 0.0000, 0.5000], [0.5000, 0.5000, 0.0000]], "m_tot_mub_per_cell": 1.57}



Most stable structure: 2



1.
{"formula": "Ba2ZnCuN", "functional": "PBE", "state": "relaxed", "lattice_angstrom": [[5.8202, 0.0000, 0.0000], [0.0000, 5.8202, 0.0000], [0.0000, 0.0000, 3.7618]], "species": ["Ba", "Ba", "Zn", "Cu", "N"], "fractional_positions": [[0.0000, 0.5000, 0.0000], [0.5000, 0.0000, 0.0000], [0.0000, 0.0000, 0.5000], [0.5000, 0.5000, 0.5000], [0.5000, 0.5000, 0.0000]], "m_tot_mub_per_cell": 0.00}



2.
{"formula": "Ba2ZnCuN", "functional": "PBE", "state": "relaxed", "lattice_angstrom": [[5.7745, 0.0000, 0.0000], [0.0000, 5.7745, 0.0000], [0.0000, 0.0000, 3.8906]], "species": ["Ba", "Ba", "Zn", "Cu", "N"], "fractional_positions": [[0.0000, 0.5000, 0.0000], [0.5000, 0.0000, 0.0000], [0.0000, 0.0000, 0.5000], [0.5000, 0.5000, 0.5000], [0.0000, 0.0000, 0.0000]], "m_tot_mub_per_cell": 0.00}



Most stable structure: 1



1.
{"formula": "BaNa2Cu2", "functional": "PBE", "state": "relaxed", "lattice_angstrom": [[7.9279, 0.0000, 0.0000], [0.0000, 7.9279, 0.0000], [0.0000, 0.0000, 4.6745]], "species": ["Ba", "Ba", "Na", "Na", "Na", "Na", "Cu", "Cu", "Cu", "Cu"], "fractional_positions": [[0.0000, 0.0000, 0.0000], [0.5000, 0.5000, 0.0000], [0.1486, 0.3514, 0.5000], [0.3514, 0.8514, 0.5000], [0.6486, 0.1486, 0.5000], [0.8514, 0.6486, 0.5000], [0.1071, 0.6071, 0.0000], [0.3929, 0.1071, 0.0000], [0.6071, 0.8929, 0.0000], [0.8929, 0.3929, 0.0000]], "m_tot_mub_per_cell": 0.00}



2.
{"formula": "BaNa2Cu2", "functional": "PBE", "state": "relaxed", "lattice_angstrom": [[-2.2740, 2.2740, 6.7701], [2.2740, -2.2740, 6.7701], [2.2740, 2.2740, -6.7701]], "species": ["Ba", "Na", "Na", "Cu", "Cu"], "fractional_positions": [[0.0000, 0.0000, 0.0000], [0.2500, 0.7500, 0.5000], [0.7500, 0.2500, 0.5000], [0.4106, 0.4106, 0.0000], [0.5894, 0.5894, 0.0000]], "m_tot_mub_per_cell": 0.00}



Most stable structure: 2



1.
{"formula": "Ba3NaCu", "functional": "PBE", "state": "relaxed", "lattice_angstrom": [[6.3941, 0.0000, 0.0000], [0.0000, 6.3941, 0.0000], [0.0000, 0.0000, 6.3941]], "species": ["Ba", "Ba", "Ba", "Na", "Cu"], "fractional_positions": [[0.0000, 0.0000, 0.5000], [0.0000, 0.5000, 0.0000], [0.5000, 0.0000, 0.0000], [0.5000, 0.5000, 0.5000], [0.0000, 0.0000, 0.0000]], "m_tot_mub_per_cell": 0.00}



2.
{"formula": "Ba3NaCu", "functional": "PBE", "state": "relaxed", "lattice_angstrom": [[10.4696, 0.0000, 0.0000], [0.0000, 4.4686, 0.0000], [-4.5909, 0.0000, 10.1832]], "species": ["Ba", "Ba", "Ba", "Ba", "Ba", "Ba", "Na", "Na", "Cu", "Cu"], "fractional_positions": [[0.9996, 0.2500, 0.1758], [0.0004, 0.7500, 0.8242], [0.2432, 0.7500, 0.5524], [0.3712, 0.7500, 0.2254], [0.6288, 0.2500, 0.7746], [0.7568, 0.2500, 0.4476], [0.3433, 0.2500, 0.9098], [0.6567, 0.7500, 0.0902], [0.4380, 0.2500, 0.4633], [0.5620, 0.7500, 0.5367]], "m_tot_mub_per_cell": 0.00}



Most stable structure: 2



1.
{"formula": "Ba2NaCu", "functional": "PBE", "state": "relaxed", "lattice_angstrom": [[2.2781, 1.3153, 11.6131], [-2.2781, 1.3153, 11.6131], [0.0000, -2.6305, 11.6131]], "species": ["Ba", "Ba", "Na", "Cu"], "fractional_positions": [[0.1148, 0.1148, 0.1148], [0.8852, 0.8852, 0.8852], [0.0000, 0.0000, 0.0000], [0.5000, 0.5000, 0.5000]], "m_tot_mub_per_cell": 0.00}



2.
{"formula": "Ba2NaCu", "functional": "PBE", "state": "relaxed", "lattice_angstrom": [[2.3360, 1.3487, 9.8948], [-2.3360, 1.3487, 9.8948], [0.0000, -2.6974, 9.8948]], "species": ["Ba", "Ba", "Na", "Cu"], "fractional_positions": [[0.0000, 0.0000, 0.0000], [0.2124, 0.2124, 0.2124], [0.7722, 0.7722, 0.7722], [0.6065, 0.6065, 0.6065]], "m_tot_mub_per_cell": 0.00}



Most stable structure: 2



1.
{"formula": "Ba2NaCu", "functional": "PBE", "state": "relaxed", "lattice_angstrom": [[4.0250, 0.0000, 0.0000], [0.0000, 4.0250, 0.0000], [0.0000, 0.0000, 9.8537]], "species": ["Ba", "Ba", "Na", "Cu"], "fractional_positions": [[0.0000, 0.0000, 0.1907], [0.0000, 0.0000, 0.8093], [0.5000, 0.5000, 0.5000], [0.5000, 0.5000, 0.0000]], "m_tot_mub_per_cell": 0.00}



2.
{"formula": "Ba2NaCu", "functional": "PBE", "state": "relaxed", "lattice_angstrom": [[8.0328, -2.2021, 0.0000], [8.0328, 2.2021, 0.0000], [-1.0647, 0.0000, 9.6354]], "species": ["Ba", "Ba", "Ba", "Ba", "Na", "Na", "Cu", "Cu"], "fractional_positions": [[0.0341, 0.0341, 0.2892], [0.2200, 0.2200, 0.6740], [0.7800, 0.7800, 0.3260], [0.9659, 0.9659, 0.7108], [0.3672, 0.3672, 0.0283], [0.6328, 0.6328, 0.9717], [0.4219, 0.4219, 0.4580], [0.5781, 0.5781, 0.5420]], "m_tot_mub_per_cell": 0.00}



Most stable structure: 2